Entry 1:
DFT (PBE with a Hubbard U) results for an optimized crystal structure of Fe2P3O10.

The structure in POSCAR format:
```
Fe2P3O10
1.0
8.5085 0.0000 0.0000
0.0000 4.7485 -0.0037
0.0000 1.2019 8.8985
Fe O P
4 20 6
Direct
0.5733 0.0399 0.6726 Fe
0.9267 0.0399 0.6726 Fe
0.0733 0.9601 0.3274 Fe
0.4267 0.9601 0.3274 Fe
0.2500 0.4795 0.9732 O
0.9007 0.7805 0.4904 O
0.4006 0.8282 0.7873 O
0.0994 0.8282 0.7873 O
0.0993 0.2195 0.5096 O
0.7500 0.7712 0.7691 O
0.4007 0.2195 0.5096 O
0.0996 0.6948 0.1751 O
0.7500 0.3092 0.5452 O
0.2500 0.4047 0.7146 O
0.2500 0.2288 0.2309 O
0.5996 0.3052 0.8249 O
0.2500 0.6908 0.4548 O
0.4004 0.6948 0.1751 O
0.9006 0.1718 0.2127 O
0.5994 0.1718 0.2127 O
0.7500 0.5205 0.0268 O
0.9004 0.3052 0.8249 O
0.7500 0.5953 0.2854 O
0.5993 0.7805 0.4904 O
0.7500 0.6139 0.4616 P
0.7500 0.3340 0.1874 P
0.2500 0.6660 0.8126 P
0.2500 0.5375 0.1459 P
0.2500 0.3861 0.5384 P
0.7500 0.4625 0.8541 P
```

Computed properties:
- calculated volume (Å³/atom) = 11.99
- total moment (μB per formula unit) = 9.000
- Fermi-level density of states (states/eV per atom) = 0.015
- total energy (eV/cell) = -213.97
- space-group type = No. 11


Entry 2:
DFT (PBE with a Hubbard U) results for an optimized crystal structure of Fe3P2O8.

The structure in POSCAR format:
```
Fe3P2O8
1.0
-0.0644 -0.2271 -4.8584
-1.4985 -5.9301 0.2970
-10.2636 2.5180 0.0184
O P Fe
16 4 6
Direct
0.2497 0.2804 0.8950 O
0.8261 0.0722 0.3168 O
0.7497 0.7196 0.6050 O
0.1739 0.9278 0.6832 O
0.2503 0.2804 0.3950 O
0.6739 0.0722 0.8168 O
0.8198 0.2542 0.5360 O
0.7134 0.4707 0.8379 O
0.7503 0.7196 0.1050 O
0.2134 0.5293 0.6621 O
0.7866 0.4707 0.3379 O
0.2866 0.5293 0.1621 O
0.6802 0.2542 0.0360 O
0.3198 0.7458 0.9640 O
0.3261 0.9278 0.1832 O
0.1802 0.7458 0.4640 O
0.0666 0.7372 0.6010 P
0.9334 0.2628 0.3990 P
0.5666 0.2628 0.8990 P
0.4334 0.7372 0.1010 P
0.0151 0.2357 0.7175 Fe
0.4849 0.2357 0.2175 Fe
0.0000 0.5000 0.0000 Fe
0.9849 0.7643 0.2825 Fe
0.5151 0.7643 0.7825 Fe
0.5000 0.5000 0.5000 Fe
```

Computed properties:
- calculated volume (Å³/atom) = 12.11
- total moment (μB per formula unit) = 12.009
- Fermi-level density of states (states/eV per atom) = 0.000
- total energy (eV/cell) = -186.22
- space-group type = No. 14


Entry 3:
DFT (PBE with a Hubbard U) results for an optimized crystal structure of Fe9PO12.

The structure in POSCAR format:
```
Fe9PO12
1.0
2.9759 -13.4792 0.0000
2.9759 13.4792 0.0000
0.0000 0.0000 3.0892
Fe O P
9 12 1
Direct
0.8480 0.6706 0.5000 Fe
0.9999 0.0001 0.0000 Fe
0.3230 0.6770 0.0000 Fe
0.6712 0.3288 0.0000 Fe
0.6676 0.8365 0.5000 Fe
0.1635 0.3324 0.5000 Fe
0.5071 0.4929 0.0000 Fe
0.2064 0.7936 0.5000 Fe
0.3294 0.1520 0.5000 Fe
0.7299 0.7340 0.5000 O
0.7674 0.2326 0.0000 O
0.0763 0.9237 0.0000 O
0.9227 0.0773 0.0000 O
0.4329 0.0975 0.5000 O
0.4009 0.5991 0.0000 O
0.5835 0.4165 0.0000 O
0.9025 0.5671 0.5000 O
0.2485 0.7515 0.0000 O
0.2660 0.2701 0.5000 O
0.6085 0.9523 0.5000 O
0.0477 0.3915 0.5000 O
0.7970 0.2030 0.5000 P
```

Computed properties:
- calculated volume (Å³/atom) = 11.27
- total moment (μB per formula unit) = 26.566
- Fermi-level density of states (states/eV per atom) = 0.094
- total energy (eV/cell) = -144.87
- space-group type = No. 38


Entry 4:
DFT (PBE with a Hubbard U) results for an optimized crystal structure of Fe3PO6.

The structure in POSCAR format:
```
Fe3PO6
1.0
5.0386 0.0000 0.0000
0.0000 6.7320 -1.8904
0.0000 -0.0808 6.9920
O Fe P
12 6 2
Direct
0.6515 0.3155 0.3719 O
0.1515 0.6845 0.6281 O
0.6686 0.5751 0.1349 O
0.6515 0.6281 0.6845 O
0.1515 0.3719 0.3155 O
0.1686 0.4249 0.8650 O
0.2597 0.8178 0.1822 O
0.1686 0.1349 0.5751 O
0.6686 0.8650 0.4249 O
0.2262 0.0877 0.9123 O
0.7597 0.1822 0.8178 O
0.7262 0.9123 0.0877 O
0.8697 0.5701 0.4299 Fe
0.3697 0.4299 0.5701 Fe
0.9663 0.1033 0.3076 Fe
0.4663 0.3076 0.1033 Fe
0.4663 0.8967 0.6924 Fe
0.9663 0.6924 0.8967 Fe
0.0572 0.2061 0.7939 P
0.5572 0.7939 0.2061 P
```

Computed properties:
- calculated volume (Å³/atom) = 11.82
- total moment (μB per formula unit) = 12.998
- total energy (eV/cell) = -137.69
- space-group type = No. 36